Compound: ZrTcRu2
Source: Alexandria via LeMat-Bulk
Functional: PBE
Structure: optimized geometry

Structure (CIF):
```
data_ZrTcRu2
_symmetry_space_group_name_H-M 'P 1 2/m 1'
_symmetry_Int_Tables_number 10
_cell_length_a 2.9003
_cell_length_b 3.7602
_cell_length_c 5.8643
_cell_angle_alpha 90.00
_cell_angle_beta 90.12
_cell_angle_gamma 90.00
loop_
_symmetry_equiv_pos_as_xyz
'x,y,z'
'-x,-y,-z'
'-x,y,-z'
'x,-y,z'
loop_
_atom_site_label
_atom_site_fract_x
_atom_site_fract_y
_atom_site_fract_z
_atom_site_occupancy
Zr1 0.0000 0.0000 0.0000 1
Tc1 0.0000 0.0000 0.5000 1
Ru1 0.4991 0.5000 0.7246 1
```

## Properties
M_tot	0.0	μB per formula unit
offset from the most stable computed form	0.014	eV per atom
formation energy from the elements	-45	meV/atom
uncorrected energy	-9.4118	eV per atom